1.
DFT (GGA-PBE) results for a relaxed Ba12Pt5Au3 crystal.

Cell lengths 16.5970, 16.5970, 16.5970 Å; angles 109.47, 109.47, 109.47 degrees
Closest atoms and distances in Å follow each position.
Atoms (fractional coordinates):
Ba 0.0369 0.2129 0.1246  2 Pt 2.95-3.16
Ba 0.0369 0.3240 0.9122  2 Pt 2.95-3.16
Ba 0.0878 0.6246 0.4117  2 Pt 2.95-3.16
Ba 0.0883 0.7129 0.6760  2 Pt 2.95-3.16
Ba 0.0883 0.8754 0.4122  2 Pt 2.95-3.16
Ba 0.0878 0.9631 0.6760  2 Pt 2.95-3.16
Ba 0.1246 0.0369 0.2129  2 Pt 2.95-3.16
Ba 0.1246 0.5878 0.9117  2 Pt 2.95-3.16
Ba 0.1760 0.2129 0.5883  2 Pt 2.95-3.16
Ba 0.1760 0.4631 0.5878  2 Pt 2.95-3.16
Ba 0.2129 0.1246 0.0369  2 Pt 2.95-3.16
Ba 0.2129 0.5883 0.1760  2 Pt 2.95-3.16
Ba 0.2871 0.3240 0.9117  2 Pt 2.95-3.16
Ba 0.2871 0.4631 0.3754  2 Pt 2.95-3.16
Ba 0.3240 0.9122 0.0369  2 Pt 2.95-3.16
Ba 0.3240 0.9117 0.2871  2 Pt 2.95-3.16
Ba 0.3754 0.2871 0.4631  2 Pt 2.95-3.16
Ba 0.3754 0.5883 0.9122  2 Pt 2.95-3.16
Ba 0.4117 0.0878 0.6246  2 Pt 2.95-3.16
Ba 0.4122 0.0883 0.8754  2 Pt 2.95-3.16
Ba 0.4122 0.8240 0.5369  2 Pt 2.95-3.16
Ba 0.4117 0.8240 0.7871  2 Pt 2.95-3.16
Ba 0.4631 0.3754 0.2871  2 Pt 2.95-3.16
Ba 0.4631 0.5878 0.1760  2 Pt 2.95-3.16
Ba 0.5369 0.4122 0.8240  2 Pt 2.95-3.16
Ba 0.5369 0.6246 0.7129  2 Pt 2.95-3.16
Ba 0.5883 0.1760 0.2129  2 Pt 2.95-3.16
Ba 0.5878 0.1760 0.4631  2 Pt 2.95-3.16
Ba 0.5878 0.9117 0.1246  2 Pt 2.95-3.16
Ba 0.5883 0.9122 0.3754  2 Pt 2.95-3.16
Ba 0.6246 0.4117 0.0878  2 Pt 2.95-3.16
Ba 0.6246 0.7129 0.5369  2 Pt 2.95-3.16
Ba 0.6760 0.0883 0.7129  2 Pt 2.95-3.16
Ba 0.6760 0.0878 0.9631  2 Pt 2.95-3.16
Ba 0.7129 0.5369 0.6246  2 Pt 2.95-3.16
Ba 0.7129 0.6760 0.0883  2 Pt 2.95-3.16
Ba 0.7871 0.4117 0.8240  2 Pt 2.95-3.16
Ba 0.7871 0.8754 0.9631  2 Pt 2.95-3.16
Ba 0.8240 0.5369 0.4122  2 Pt 2.95-3.16
Ba 0.8240 0.7871 0.4117  2 Pt 2.95-3.16
Ba 0.8754 0.4122 0.0883  2 Pt 2.95-3.16
Ba 0.8754 0.9631 0.7871  2 Pt 2.95-3.16
Ba 0.9122 0.0369 0.3240  2 Pt 2.95-3.16
Ba 0.9117 0.1246 0.5878  2 Pt 2.95-3.16
Ba 0.9117 0.2871 0.3240  2 Pt 2.95-3.16
Ba 0.9122 0.3754 0.5883  2 Pt 2.95-3.16
Ba 0.9631 0.6760 0.0878  2 Pt 2.95-3.16
Ba 0.9631 0.7871 0.8754  2 Pt 2.95-3.16
Pt 0.0000 0.0000 0.0000  6 Ba 3.16
Pt 0.0000 0.0000 0.5000  6 Ba 3.16
Pt 0.0000 0.5000 0.0000  6 Ba 3.16
Pt 0.0000 0.5000 0.5000  6 Ba 3.16
Pt 0.1250 0.7500 0.8750  4 Ba 2.95
Pt 0.1250 0.8750 0.2500  4 Ba 2.95
Pt 0.2500 0.1250 0.8750  4 Ba 2.95
Pt 0.2500 0.6250 0.3750  4 Ba 2.95
Pt 0.3750 0.2500 0.6250  4 Ba 2.95
Pt 0.3750 0.6250 0.7500  4 Ba 2.95
Pt 0.5000 0.0000 0.0000  6 Ba 3.16
Pt 0.5000 0.0000 0.5000  6 Ba 3.16
Pt 0.5000 0.5000 0.0000  6 Ba 3.16
Pt 0.5000 0.5000 0.5000  6 Ba 3.16
Pt 0.6250 0.3750 0.2500  4 Ba 2.95
Pt 0.6250 0.7500 0.3750  4 Ba 2.95
Pt 0.7500 0.3750 0.6250  4 Ba 2.95
Pt 0.7500 0.8750 0.1250  4 Ba 2.95
Pt 0.8750 0.1250 0.7500  4 Ba 2.95
Pt 0.8750 0.2500 0.1250  4 Ba 2.95
Au 0.1250 0.2500 0.3750  8 Ba 3.66
Au 0.1250 0.3750 0.7500  8 Ba 3.66
Au 0.2500 0.3750 0.1250  8 Ba 3.66
Au 0.2500 0.8750 0.6250  8 Ba 3.66
Au 0.3750 0.1250 0.2500  8 Ba 3.66
Au 0.3750 0.7500 0.1250  8 Ba 3.66
Au 0.6250 0.2500 0.8750  8 Ba 3.66
Au 0.6250 0.8750 0.7500  8 Ba 3.66
Au 0.7500 0.1250 0.3750  8 Ba 3.66
Au 0.7500 0.6250 0.8750  8 Ba 3.66
Au 0.8750 0.6250 0.2500  8 Ba 3.66
Au 0.8750 0.7500 0.6250  8 Ba 3.66

Output
DOS(E_F)	57.8	states/eV per cell
calculated volume	879.9	Å³/f.u.
DFT formation energy	-0.4927	eV per atom
E_tot	-73.0	eV per formula unit
magnetic moment	0.00	μB/atom

=====

2.
DFT (GGA-PBE) results for a relaxed LaTeAs crystal.

Cell lengths 4.5446, 4.5446, 11.5362 Å; angles 90.00, 90.00, 120.00 degrees
Closest atoms and distances in Å follow each position.
Atoms (fractional coordinates):
La 0.0000 0.0000 0.1959  3 Te 3.13, 3 As 3.34
La 0.0000 0.0000 0.8041  3 Te 3.13, 3 As 3.34
Te 0.3333 0.6667 0.3445  3 La 3.13
Te 0.6667 0.3333 0.6555  3 La 3.13
As 0.3333 0.6667 0.9827  3 As 2.65
As 0.6667 0.3333 0.0173  3 As 2.65

Output
DOS(E_F)	1.1	states/eV per cell
calculated volume	103.2	Å³/f.u.
E_tot	-15.8	eV per formula unit
magnetic moment	0.00	μB/atom

=====

3.
DFT (GGA-PBE) results for a relaxed KTaAg2S4 crystal.

Cell lengths 6.6714, 6.6613, 6.6522 Å; angles 60.15, 60.00, 59.86 degrees
Closest atoms and distances in Å follow each position.
Atoms (fractional coordinates):
K 0.0000 0.0000 0.0000  4 S 3.13-3.14
Ta 0.5026 0.5026 0.4974  4 S 2.30
Ag 0.2521 0.2521 0.2479  4 S 2.61
Ag 0.7521 0.7521 0.7479  4 S 2.61
S 0.1630 0.5593 0.4407  1 Ta 2.30
S 0.4454 0.8429 0.5546  1 Ta 2.30
S 0.5593 0.1630 0.8370  1 Ta 2.30
S 0.8429 0.4454 0.1571  1 Ta 2.30

Output
calculated volume	209.0	Å³/f.u.
E_tot	-40.9	eV per formula unit
magnetic moment	0.00	μB/atom